A geometry-optimized Tl2CoF4 structure, computed with PBE with a Hubbard U.

The value obtained for the calculated total energy is -4.365 eV/atom. Its symmetry is Pnma. For the density of states at the Fermi level, the calculation gives 0.00 states/eV per cell.

```
Tl2CoF4
1.0
-3.622 5.075 -1.289
-6.215 -4.853 -1.642
-3.224 0.456 10.854
Co Tl F
4 8 16
direct
0.750 0.290 0.573 Co
0.750 0.790 0.927 Co
0.250 0.710 0.427 Co
0.250 0.210 0.073 Co
0.750 0.994 0.213 Tl
0.750 0.494 0.287 Tl
0.750 0.342 0.943 Tl
0.250 0.158 0.443 Tl
0.250 0.506 0.713 Tl
0.750 0.842 0.557 Tl
0.250 0.006 0.787 Tl
0.250 0.658 0.057 Tl
0.250 0.810 0.584 F
0.510 0.295 0.137 F
0.750 0.028 0.920 F
0.490 0.205 0.637 F
0.010 0.705 0.863 F
0.250 0.472 0.420 F
0.990 0.295 0.137 F
0.990 0.795 0.363 F
0.490 0.705 0.863 F
0.510 0.795 0.363 F
0.750 0.190 0.416 F
0.250 0.310 0.916 F
0.750 0.690 0.084 F
0.010 0.205 0.637 F
0.750 0.528 0.580 F
0.250 0.972 0.080 F
```